(1)
Material: NaFeSi2O6
Method: DFT, meta-GGA SCAN
State: PBEsol geometry

The raw formation energy comes out at -2.60 eV/atom. The total DFT energy (no corrections) comes out at -423.12 eV per cell.

The structure belongs to space group C2/c (No. 15); the cell edges are 9.734, 8.806 and 5.313 Å and the angles 90.00°, 107.44° and 90.00°. The inequivalent atoms are Na at (0.000, 0.203, 0.250), Fe at (0.000, 0.397, 0.750), Si at (0.211, 0.089, 0.767), O at (0.113, 0.421, 0.138), O at (0.142, 0.257, 0.703) and O at (0.148, 0.006, 0.987).

***

(2)
Material: Na2FeOs
Method: DFT, meta-GGA SCAN
State: PBEsol geometry

Its formation energy is 1.500 eV/atom. The total DFT energy (no corrections) comes out at -369.75 eV per cell.

The structure belongs to space group Fm-3m (No. 225); the cell edges are 6.489, 6.489 and 6.489 Å and the angles 90.00°, 90.00° and 90.00°. The inequivalent atoms are Na at (0.250, 0.250, 0.250), Fe at (0.000, 0.000, 0.000) and Os at (0.000, 0.000, 0.500).

***

Q: Which value of total DFT energy (no corrections) does entry 1 give?
A: -423.12 eV per cell

***

Q: The lowest total DFT energy (no corrections) belongs to which entry?
A: NaFeSi2O6